Entry 1:
# CsAcTeO5

Crystalline CsAcTeO5 at its relaxed geometry (PBE, Alexandria).

Lattice parameters (Å, degrees): 7.005 7.005 8.725 105.02 105.02 106.50
Positions (direct):
O 0.132 0.696 0.871
O 0.932 0.068 0.750
Cs 0.675 0.325 0.750
O 0.304 0.868 0.629
Cs 0.325 0.675 0.250
Te 0.314 0.686 0.750
Ac 0.000 0.000 0.000
O 0.068 0.932 0.250
Ac 0.000 0.000 0.500
O 0.696 0.132 0.371
O 0.236 0.413 0.599
O 0.868 0.304 0.129
Te 0.686 0.314 0.250
O 0.413 0.236 0.099
O 0.764 0.587 0.401
O 0.587 0.764 0.901

Computed properties:
SG: C2/c (15)
E_form (uncorrected): -1.835 eV per atom
DOS(E_F): 2.9 states/eV/cell


Entry 2:
# Pr4Nd4Sm

Crystalline Pr4Nd4Sm at its relaxed geometry (PBE, Alexandria).

Lattice parameters (Å, degrees): 5.222 8.256 8.256 84.26 71.56 71.56
Positions (direct):
Nd 0.666 0.000 0.668
Nd 0.666 0.668 0.000
Pr 0.668 0.332 0.332
Pr 0.000 0.332 0.668
Pr 0.000 0.668 0.332
Pr 0.332 0.668 0.668
Nd 0.334 0.000 0.332
Nd 0.334 0.332 0.000
Sm 0.000 0.000 0.000

Computed properties:
DFT formation energy: 13 meV/atom
SG: I4/mmm (139)
DOS(E_F): 15.4 states/eV/cell


Entry 3:
# Na2Al2Pt

Crystalline Na2Al2Pt at its relaxed geometry (PBE, Alexandria).

Lattice parameters (Å, degrees): 3.556 3.556 8.085 77.30 77.30 90.00
Positions (direct):
Pt 0.000 0.000 0.000
Na 0.750 0.250 0.500
Al 0.583 0.583 0.834
Al 0.417 0.417 0.166
Na 0.250 0.750 0.500

Computed properties:
DFT formation energy: 136 meV/atom
SG: I4/mmm (139)
offset from the most stable computed form: 387 meV/atom
DOS(E_F): 1.4 states/eV/cell


Entry 4:
# Pu3ZnGe3

Crystalline Pu3ZnGe3 at its relaxed geometry (PBE, Alexandria).

Lattice parameters (Å, degrees): 4.363 5.841 13.278 81.50 80.54 68.07
Positions (direct):
Pu 0.255 0.272 0.219
Ge 0.860 0.728 0.551
Ge 0.140 0.272 0.449
Pu 0.745 0.728 0.781
Ge 0.035 0.166 0.764
Pu 0.600 0.718 0.083
Zn 0.765 0.076 0.394
Zn 0.235 0.924 0.606
Pu 0.476 0.663 0.386
Ge 0.113 0.847 0.928
Ge 0.887 0.153 0.072
Pu 0.400 0.282 0.917
Pu 0.524 0.337 0.614
Ge 0.965 0.834 0.236

Computed properties:
DFT formation energy: -380 meV/atom
SG: C2/m (12)
offset from the most stable computed form: 0 meV/atom
DOS(E_F): 49.4 states/eV/cell